No. 1
VASP calculation (GGA-PBE) on Hf2BiMoI after structural relaxation.

Lattice parameters (Å, degrees): 5.2527 5.2527 4.9964 90.00 90.00 90.00
Space group P4/mmm (No. 123)
Asymmetric unit:
Hf1 0.0000 0.5000 0.0000 (multiplicity 2)
Bi1 0.0000 0.0000 0.5000 (multiplicity 1)
Mo1 0.5000 0.5000 0.0000 (multiplicity 1)
I1 0.5000 0.5000 0.5000 (multiplicity 1)

Results
**Total magnetization**: 0.000 μB per formula unit
**Raw total energy**: -6.412 eV per atom
**ΔE_f (raw)**: 0.822 eV per atom
**Calculated density**: 9.5 g/cm3

---

No. 2
VASP calculation (GGA-PBE) on HfBiI2O after structural relaxation.

Lattice parameters (Å, degrees): 5.9513 5.9513 3.9492 90.00 90.00 90.00
Space group P4/mmm (No. 123)
Asymmetric unit:
Hf1 0.0000 0.0000 0.0000 (multiplicity 1)
Bi1 0.5000 0.5000 0.5000 (multiplicity 1)
I1 0.0000 0.5000 0.0000 (multiplicity 2)
O1 0.0000 0.0000 0.5000 (multiplicity 1)

Results
**Total magnetization**: 0.001 μB per formula unit
**Raw total energy**: -5.217 eV per atom
**Polymorph energy (0 for the lowest one)**: 0.0 meV/atom
**ΔE_f (raw)**: -0.838 eV per atom
**Calculated density**: 7.8 g/cm3